## A
Compound: Pd4Pt5
Source: Alexandria
Functional: GGA-PBE
Structure: optimized geometry

```
Pd4Pt5
1.0
-1.3906 4.1995 5.9643
1.3906 -4.1995 5.9643
1.3906 4.1995 -5.9643
Pd Pt
4 5
Direct
0.1657 0.1657 0.0000
0.1656 0.5000 0.6656
0.8344 0.5000 0.3344
0.8343 0.8343 0.0000
0.1653 0.8329 0.3324
0.4995 0.1671 0.3324
0.5000 0.5000 0.0000
0.5005 0.8329 0.6676
0.8347 0.1671 0.6676
```

## B
Compound: Pd4Pt5
Source: Alexandria
Functional: GGA-PBE
Structure: optimized geometry

```
Pd4Pt5
1.0
-5.0461 5.0461 1.3833
5.0461 -5.0461 1.3833
5.0461 5.0461 -1.3833
Pd Pt
4 5
Direct
0.0008 0.6655 0.6663
0.3345 0.0008 0.3353
0.6655 0.9992 0.6647
0.9992 0.3345 0.3337
0.0000 0.0000 0.0000
0.3320 0.6672 0.9992
0.3328 0.3320 0.6648
0.6672 0.6680 0.3352
0.6680 0.3328 0.0008
```

Last place for stability: B

## A
Compound: Pd2Pt13
Source: Alexandria
Functional: GGA-PBE
Structure: optimized geometry

```
Pd2Pt13
1.0
3.6036 2.0805 6.5569
-3.6036 2.0805 6.5569
0.0000 -4.1611 6.5569
Pd Pt
2 13
Direct
0.2367 0.2367 0.2367
0.7633 0.7633 0.7633
0.0000 0.0000 0.0000
0.0182 0.0182 0.6399
0.0182 0.6399 0.0182
0.2438 0.2438 0.6027
0.2438 0.6027 0.2438
0.3601 0.9818 0.9818
0.3973 0.7562 0.7562
0.6027 0.2438 0.2438
0.6399 0.0182 0.0182
0.7562 0.3973 0.7562
0.7562 0.7562 0.3973
0.9818 0.3601 0.9818
0.9818 0.9818 0.3601
```

## B
Compound: Pd2Pt13
Source: Alexandria
Functional: GGA-PBE
Structure: optimized geometry

```
Pd2Pt13
1.0
4.4962 2.5959 3.5870
-4.4962 2.5959 3.5870
0.0000 -5.1918 3.5870
Pd Pt
2 13
Direct
0.2469 0.2469 0.2469
0.7531 0.7531 0.7531
0.0000 0.0000 0.0000
0.1295 0.1295 0.6252
0.1295 0.6252 0.1295
0.1411 0.6108 0.6108
0.3748 0.8705 0.8705
0.3892 0.3892 0.8589
0.3892 0.8589 0.3892
0.6108 0.1411 0.6108
0.6108 0.6108 0.1411
0.6252 0.1295 0.1295
0.8589 0.3892 0.3892
0.8705 0.3748 0.8705
0.8705 0.8705 0.3748
```

Last place for stability: A

## A
Compound: Pd2Pt
Source: Alexandria
Functional: GGA-PBE
Structure: optimized geometry

```
Pd2Pt
1.0
2.7901 0.0000 0.0000
-1.3951 2.4163 0.0000
0.0000 0.0000 6.8651
Pd Pt
2 1
Direct
0.3333 0.6667 0.3348
0.6667 0.3333 0.6652
0.0000 0.0000 0.0000
```

## B
Compound: Pd2Pt
Source: Alexandria
Functional: GGA-PBE
Structure: optimized geometry

```
Pd2Pt
1.0
0.0000 3.6421 3.6421
3.6421 0.0000 3.6421
3.6421 3.6421 0.0000
Pd Pt
4 2
Direct
0.0000 0.0000 0.0000
0.0000 0.0000 0.5000
0.0000 0.5000 0.0000
0.5000 0.0000 0.0000
0.3750 0.3750 0.3750
0.6250 0.6250 0.6250
```

Last place for stability: B

## A
Compound: Pd2Pt5
Source: Alexandria
Functional: GGA-PBE
Structure: optimized geometry

```
Pd2Pt5
1.0
6.2778 -2.4018 0.0000
6.2778 2.4018 0.0000
-0.1066 0.0000 7.2515
Pd Pt
4 10
Direct
0.0897 0.7673 0.8941
0.2327 0.9103 0.6059
0.7673 0.0897 0.3941
0.9103 0.2327 0.1059
0.0489 0.3803 0.8184
0.1964 0.5190 0.5335
0.3417 0.6583 0.2500
0.3803 0.0489 0.3184
0.4810 0.8036 0.9665
0.5190 0.1964 0.0335
0.6197 0.9511 0.6816
0.6583 0.3417 0.7500
0.8036 0.4810 0.4665
0.9511 0.6197 0.1816
```

## B
Compound: Pd2Pt5
Source: Alexandria
Functional: GGA-PBE
Structure: optimized geometry

```
Pd2Pt5
1.0
15.1658 -1.3637 0.0000
15.1658 1.3637 0.0000
-0.4886 0.0000 5.4155
Pd Pt
4 10
Direct
0.0867 0.6280 0.6788
0.3720 0.9133 0.8212
0.6280 0.0867 0.1788
0.9133 0.3720 0.3212
0.0656 0.0717 0.0340
0.0717 0.0656 0.5340
0.2780 0.2908 0.3906
0.2908 0.2780 0.8906
0.4930 0.5070 0.7500
0.5070 0.4930 0.2500
0.7092 0.7220 0.1094
0.7220 0.7092 0.6094
0.9283 0.9344 0.4660
0.9344 0.9283 0.9660
```

Last place for stability: B

## A
Compound: Pd3Pt4
Source: Alexandria
Functional: GGA-PBE
Structure: optimized geometry

```
Pd3Pt4
1.0
-1.3917 1.9914 9.7892
1.3917 -1.9914 9.7892
1.3917 1.9914 -9.7892
Pd Pt
3 4
Direct
0.0000 0.0000 0.0000
0.2860 0.2860 0.0000
0.7140 0.7140 0.0000
0.1429 0.1429 0.0000
0.4281 0.4281 0.0000
0.5719 0.5719 0.0000
0.8571 0.8571 0.0000
```

## B
Compound: Pd3Pt4
Source: Alexandria
Functional: GGA-PBE
Structure: optimized geometry

```
Pd3Pt4
1.0
5.8999 3.4063 1.8174
-5.8999 3.4063 1.8174
0.0000 -6.8126 1.8174
Pd Pt
6 8
Direct
0.0758 0.7901 0.6444
0.2099 0.3556 0.9242
0.3556 0.9242 0.2099
0.6444 0.0758 0.7901
0.7901 0.6444 0.0758
0.9242 0.2099 0.3556
0.0000 0.0000 0.0000
0.1471 0.5725 0.2891
0.2891 0.1471 0.5725
0.4275 0.7109 0.8529
0.5000 0.5000 0.5000
0.5725 0.2891 0.1471
0.7109 0.8529 0.4275
0.8529 0.4275 0.7109
```

Last place for stability: B

## A
Compound: PuPd8Pt2
Source: Alexandria
Functional: GGA-PBE
Structure: optimized geometry

```
PuPd8Pt2
1.0
6.5797 -2.6937 0.0000
6.5797 2.6937 0.0000
-1.2652 0.0000 5.3162
Pu Pd Pt
1 8 2
Direct
0.0000 0.0000 0.0000
0.1613 0.6532 0.3369
0.2466 0.2466 0.9855
0.3468 0.8387 0.6631
0.4197 0.4197 0.8022
0.5803 0.5803 0.1978
0.6532 0.1613 0.3369
0.7534 0.7534 0.0145
0.8387 0.3468 0.6631
0.2327 0.2327 0.4608
0.7673 0.7673 0.5392
```

## B
Compound: PuPd8Pt2
Source: Alexandria
Functional: GGA-PBE
Structure: optimized geometry

```
PuPd8Pt2
1.0
7.2457 -2.0300 0.0000
7.2457 2.0300 0.0000
-1.5733 0.0000 6.0789
Pu Pd Pt
1 8 2
Direct
0.0000 0.0000 0.0000
0.0925 0.0925 0.4563
0.1837 0.1837 0.9119
0.2722 0.2722 0.3644
0.4523 0.4523 0.2763
0.5477 0.5477 0.7237
0.7278 0.7278 0.6356
0.8163 0.8163 0.0881
0.9075 0.9075 0.5437
0.3633 0.3633 0.8149
0.6367 0.6367 0.1851
```

Last place for stability: A